DFT (PBE) results for BrClF3 after structural relaxation.

Formation energy without anion corrections   -606 meV/atom
Polymorph energy (0 for the lowest one)   80 meV/atom
SG   No. 1

Unit cell a=6.147 b=5.199 c=6.689 alpha=90.89 beta=89.66 gamma=82.97
Element x y z (fractional)
Br 0.055 0.678 0.700
Br 0.771 0.682 0.214
Cl 0.361 0.403 0.755
Cl 0.042 0.919 0.050
F 0.569 0.498 0.330
F 0.558 0.842 0.054
F 0.008 0.496 0.392
F 0.796 0.895 0.629
F 0.880 0.444 0.810
F 0.216 0.908 0.573